## Ho4Bi2N (PBE-GGA)

Data for a geometry-optimized Ho4Bi2N structure.

abc: 4.6827 4.6827 8.7406
angles: 74.46 74.46 90.00
Atoms (fractional coordinates):
N 0.0000 0.0000 0.0000
Bi 0.6457 0.6457 0.7086
Bi 0.3543 0.3543 0.2914
Ho 0.8429 0.8429 0.3142
Ho 0.1571 0.1571 0.6858
Ho 0.0000 0.5000 0.0000
Ho 0.5000 0.0000 0.0000

SG ... I4/mmm
E_form (uncorrected) ... -911.5 meV/atom

## SbAuCl2 (PBE-GGA)

Data for a geometry-optimized SbAuCl2 structure.

abc: 3.2293 5.8138 4.7104
angles: 90.00 90.00 90.00
Atoms (fractional coordinates):
Sb 0.5000 0.0000 0.5000
Au 0.0000 0.5000 0.5000
Cl 0.0000 0.0000 0.0000
Cl 0.5000 0.5000 0.0000

Energy above the lowest structure with this stoichiometry ... 0.524 eV/atom
SG ... Pmmm
E_form (uncorrected) ... 77.6 meV/atom

## V4GaPt (PBE-GGA)

Data for a geometry-optimized V4GaPt structure.

abc: 3.1203 6.5835 8.4129
angles: 90.00 90.00 103.71
Atoms (fractional coordinates):
V 0.0077 0.0153 0.2800
V 0.9923 0.9847 0.7800
V 0.8321 0.6642 0.0082
V 0.1679 0.3358 0.5082
V 0.6652 0.3305 0.2715
V 0.3348 0.6695 0.7715
V 0.5120 0.0241 0.5198
V 0.4880 0.9759 0.0198
Ga 0.6629 0.3259 0.7625
Ga 0.3371 0.6741 0.2625
Pt 0.8402 0.6804 0.5189
Pt 0.1598 0.3196 0.0189

ΔH_f (0 K) ... -29.56 kJ/mol of atoms
Energy above the lowest structure with this stoichiometry ... 0.000 eV/atom
SG ... Cmc2_1

## Rb2TiBeF6 (PBE-GGA)

Data for a geometry-optimized Rb2TiBeF6 structure.

abc: 5.5982 5.5982 5.9366
angles: 61.87 61.87 90.00
Site moments in Bohr magnetons follow the coordinates.
Atoms (fractional coordinates):
Be 0.5000 0.5000 0.0000  0.00
F 0.2337 0.2337 0.5325  0.00
F 0.7663 0.7663 0.4675  0.00
F 0.2840 0.2840 0.0000  0.01
F 0.7160 0.7160 0.0000  0.01
F 0.7160 0.2840 0.0000  0.01
F 0.2840 0.7160 0.0000  0.01
Rb 0.7500 0.2500 0.5000  0.00
Rb 0.2500 0.7500 0.5000  0.00
Ti 0.0000 0.0000 0.0000  1.73

SG ... I4/mmm
E_form (uncorrected) ... -2773.1 meV/atom

## Dy2SnBr (PBE-GGA)

Data for a geometry-optimized Dy2SnBr structure.

abc: 3.5382 3.5382 10.9991
angles: 80.74 80.74 60.00
Atoms (fractional coordinates):
Sn 0.0000 0.0000 0.0000
Br 0.5000 0.5000 0.5000
Dy 0.0945 0.0945 0.7165
Dy 0.9055 0.9055 0.2835

SG ... R-3m
E_form (uncorrected) ... -439.3 meV/atom

## PtPbBr3 (PBE-GGA)

Data for a geometry-optimized PtPbBr3 structure.

abc: 5.2033 5.2033 5.2033
angles: 90.00 90.00 90.00
Atoms (fractional coordinates):
Pb 0.5000 0.5000 0.5000
Br 0.0000 0.5000 0.0000
Br 0.0000 0.0000 0.5000
Br 0.5000 0.0000 0.0000
Pt 0.0000 0.0000 0.0000

Energy above the lowest structure with this stoichiometry ... 0.000 eV/atom
SG ... Pm-3m
E_form (uncorrected) ... -152.9 meV/atom

## AcGa2Au4 (PBE-GGA)

Data for a geometry-optimized AcGa2Au4 structure.

abc: 4.5134 7.3277 18.0720
angles: 90.00 90.00 90.00
Atoms (fractional coordinates):
Ac 0.7500 0.0069 0.6204
Ac 0.2500 0.9931 0.3796
Ac 0.2500 0.5069 0.8796
Ac 0.7500 0.4931 0.1204
Au 0.2500 0.3136 0.6919
Au 0.7500 0.6864 0.3081
Au 0.7500 0.8136 0.8081
Au 0.2500 0.1864 0.1919
Au 0.2500 0.7084 0.6876
Au 0.7500 0.2916 0.3124
Au 0.7500 0.2084 0.8124
Au 0.2500 0.7916 0.1876
Au 0.2500 0.2564 0.5330
Au 0.7500 0.7436 0.4670
Au 0.7500 0.7564 0.9670
Au 0.2500 0.2436 0.0330
Au 0.2500 0.5164 0.4070
Au 0.7500 0.4836 0.5930
Au 0.7500 0.0164 0.0930
Au 0.2500 0.9836 0.9070
Ga 0.2500 0.6895 0.5431
Ga 0.7500 0.3105 0.4569
Ga 0.7500 0.1895 0.9569
Ga 0.2500 0.8105 0.0431
Ga 0.2500 0.0097 0.7631
Ga 0.7500 0.9903 0.2369
Ga 0.7500 0.5097 0.7369
Ga 0.2500 0.4903 0.2631

ΔH_f (0 K) ... -50.00 kJ/mol of atoms
SG ... Pnma

## AlZn4Cu7 (PBE-GGA)

Data for a geometry-optimized AlZn4Cu7 structure.

abc: 5.1911 6.8670 6.6318
angles: 80.82 89.14 42.14
Atoms (fractional coordinates):
Al 0.0000 0.0000 0.0000
Zn 0.5330 0.7034 0.3386
Zn 0.4670 0.2966 0.6614
Zn 0.7218 0.7822 0.6751
Zn 0.2782 0.2178 0.3249
Cu 0.7462 0.5005 0.9996
Cu 0.2538 0.4995 0.0004
Cu 0.9790 0.2813 0.6716
Cu 0.0210 0.7187 0.3284
Cu 0.2145 0.7914 0.6663
Cu 0.5000 0.0000 0.0000
Cu 0.7855 0.2086 0.3337

ΔH_f (0 K) ... -10.44 kJ/mol of atoms
SG ... P-1

## Pr3HoSi4 (PBE-GGA)

Data for a geometry-optimized Pr3HoSi4 structure.

abc: 4.2506 6.2948 8.9012
angles: 110.71 103.81 90.00
Atoms (fractional coordinates):
Pr 0.0000 0.5000 0.0000
Pr 0.1935 0.1934 0.3869
Pr 0.8065 0.8066 0.6131
Ho 0.5000 0.0000 0.0000
Si 0.3709 0.5560 0.7417
Si 0.6291 0.4440 0.2583
Si 0.6291 0.8143 0.2583
Si 0.3709 0.1857 0.7417

SG ... Immm
E_form (uncorrected) ... -547.7 meV/atom

## Zr5Ti5Ge6 (PBE-GGA)

Data for a geometry-optimized Zr5Ti5Ge6 structure.

abc: 5.3704 7.8305 7.8305
angles: 119.25 90.00 90.00
Atoms (fractional coordinates):
Zr 0.0000 0.7507 0.9992
Zr 0.0000 0.9992 0.7507
Zr 0.5000 0.7450 0.7450
Zr 0.5000 0.2459 0.0007
Zr 0.5000 0.0007 0.2459
Ti 0.7504 0.3329 0.6676
Ti 0.7504 0.6676 0.3329
Ti 0.2496 0.6676 0.3329
Ti 0.2496 0.3329 0.6676
Ti 0.0000 0.2614 0.2614
Ge 0.0000 0.5982 0.5982
Ge 0.0000 0.3941 0.0062
Ge 0.0000 0.0062 0.3941
Ge 0.5000 0.3959 0.3959
Ge 0.5000 0.6017 0.0002
Ge 0.5000 0.0002 0.6017

ΔH_f (0 K) ... -75.73 kJ/mol of atoms
SG ... Amm2

## LiAlAgBi (PBE-GGA)

Data for a geometry-optimized LiAlAgBi structure.

abc: 4.8892 4.8892 4.8892
angles: 60.00 60.00 60.00
Atoms (fractional coordinates):
Li 0.2500 0.2500 0.2500
Bi 0.0000 0.0000 0.0000
Ag 0.5000 0.5000 0.5000
Al 0.7500 0.7500 0.7500

ΔH_f (0 K) ... -4.22 kJ/mol of atoms
SG ... F-43m

## LaPm3PrEr (PBE-GGA)

Data for a geometry-optimized LaPm3PrEr structure.

abc: 5.1865 8.1571 10.9550
angles: 116.55 90.00 90.00
Atoms (fractional coordinates):
La 0.7500 0.8766 0.7107
La 0.2500 0.1234 0.2893
Pm 0.2500 0.6229 0.4557
Pm 0.7500 0.8692 0.0402
Pm 0.7500 0.3761 0.2059
Pm 0.7500 0.3771 0.5443
Pm 0.2500 0.6239 0.7941
Pm 0.2500 0.1308 0.9598
Pr 0.2500 0.1285 0.6279
Pr 0.7500 0.8715 0.3721
Er 0.2500 0.6189 0.1219
Er 0.7500 0.3811 0.8781

ΔH_f (0 K) ... 1.94 kJ/mol of atoms
SG ... P2_1/m

| no. | density of states at the Fermi level (states/eV/cell) | total magnetization (μB/cell) |
| --- | --- | --- |
| 1 | 7.20 | 0.0 |
| 2 | 2.01 | 0.0 |
| 3 | 9.42 | 0.0 |
| 4 | 21.89 | 2.0 |
| 5 | 1.92 | 0.0 |
| 6 | 3.86 | 0.0 |
| 7 | 12.26 | 0.0 |
| 8 | 2.96 | 0.0 |
| 9 | 7.82 | 0.0 |
| 10 | 6.68 | 0.0 |
| 11 | 1.15 | 0.0 |
| 12 | 18.54 | 0.0 |